--- P ---
PaSn3, optimized geometry, DFT PBE-GGA; DOS(E_F) = 4.637 states/eV/f.u.; V = 25.05 Å³/atom
1.0
-0.602 -0.319 4.595
-2.004 -4.154 -0.551
4.147 -2.054 0.401
Pa Sn
1 3
Direct
0.000 0.000 0.000
0.000 0.500 0.500
0.500 0.000 0.500
0.500 0.500 0.000

---

--- Q ---
PaSn3, optimized geometry, DFT PBE-GGA; DOS(E_F) = 4.595 states/eV/f.u.; V = 25.50 Å³/atom
1.0
4.465 0.000 0.000
0.000 4.465 0.000
-2.233 -2.233 5.115
Pa Sn
1 3
Direct
0.000 0.000 0.000
0.750 0.250 0.500
0.250 0.750 0.500
0.500 0.500 0.000

---

--- R ---
PaSn3, optimized geometry, DFT PBE-GGA; DOS(E_F) = 5.498 states/eV/f.u.; V = 25.91 Å³/atom
1.0
-0.802 -2.886 1.459
2.867 1.556 4.653
-5.572 2.954 -1.024
Pa Sn
1 3
Direct
0.000 0.009 0.000
0.254 0.582 0.508
0.500 0.502 0.000
0.746 0.074 0.492

---

--- S ---
PaSn3, optimized geometry, DFT PBE-GGA; DOS(E_F) = 5.118 states/eV/f.u.; V = 27.29 Å³/atom
1.0
-2.636 1.118 1.556
-1.673 -0.124 -2.744
-2.857 -9.777 2.184
Pa Sn
1 3
Direct
0.000 0.000 0.970
0.000 0.500 0.464
0.500 0.500 0.196
0.500 0.000 0.704

---

It turns out P is the most stable, with the second structure 85 meV per atom higher.

---

--- P ---
Pa2TaSn, optimized geometry, DFT PBE-GGA; DOS(E_F) = 6.613 states/eV/f.u.; V = 22.75 Å³/atom
1.0
4.719 0.000 0.000
0.000 4.392 0.000
0.000 0.000 4.392
Pa Sn Ta
2 1 1
Direct
0.000 0.000 0.500
0.000 0.500 0.000
0.500 0.500 0.500
0.500 0.000 0.000

---

--- Q ---
Pa2TaSn, optimized geometry, DFT PBE-GGA; DOS(E_F) = 7.190 states/eV/f.u.; V = 24.10 Å³/atom
1.0
-0.492 3.893 -0.063
-3.877 -0.484 0.374
0.580 0.174 6.229
Pa Sn Ta
2 1 1
Direct
0.000 0.000 0.745
0.000 0.000 0.255
0.500 0.500 0.500
0.500 0.500 0.000

---

--- R ---
Pa2TaSn, optimized geometry, DFT PBE-GGA; DOS(E_F) = 6.454 states/eV/f.u.; V = 24.27 Å³/atom
1.0
-2.613 -2.134 -3.902
2.399 -1.041 -4.446
0.921 -4.893 -1.350
Pa Sn Ta
2 1 1
Direct
0.250 0.250 0.250
0.750 0.750 0.750
0.000 0.000 0.000
0.500 0.500 0.500

---

It turns out P is the most stable, with the second structure 157 meV per atom higher.

---

--- P ---
PaTaSn2, optimized geometry, DFT PBE-GGA; DOS(E_F) = 3.990 states/eV/f.u.; V = 23.96 Å³/atom
1.0
3.139 0.000 0.000
1.570 2.719 0.000
1.570 0.906 11.230
Pa Sn Ta
1 2 1
Direct
0.000 0.000 0.000
0.095 0.095 0.715
0.905 0.905 0.285
0.500 0.500 0.500

---

--- Q ---
PaTaSn2, optimized geometry, DFT PBE-GGA; DOS(E_F) = 6.241 states/eV/f.u.; V = 22.98 Å³/atom
1.0
4.696 0.000 0.000
0.000 4.424 0.000
0.000 0.000 4.424
Pa Sn Ta
1 2 1
Direct
0.500 0.000 0.000
0.000 0.000 0.500
0.000 0.500 0.000
0.500 0.500 0.500

---

It turns out Q is the most stable, with the second structure 154 meV per atom higher.

---

--- P ---
TbPaSn, optimized geometry, DFT PBE-GGA; DOS(E_F) = 5.417 states/eV/f.u.; V = 26.94 Å³/atom
1.0
3.316 0.000 0.000
0.000 3.316 0.000
-1.658 -1.658 7.349
Pa Tb Sn
1 1 1
Direct
0.673 0.673 0.345
0.995 0.995 0.990
0.332 0.332 0.665

---

--- Q ---
TbPaSn, optimized geometry, DFT PBE-GGA; DOS(E_F) = 5.710 states/eV/f.u.; V = 25.58 Å³/atom
1.0
3.191 0.000 0.000
0.000 5.270 0.000
0.000 -2.635 4.564
Pa Tb Sn
1 1 1
Direct
0.168 0.000 0.000
0.165 0.333 0.667
0.667 0.667 0.333

---

--- R ---
TbPaSn, optimized geometry, DFT PBE-GGA; DOS(E_F) = 5.342 states/eV/f.u.; V = 26.53 Å³/atom
1.0
-2.592 2.052 -2.087
-1.650 -3.327 -1.223
-6.438 0.186 8.180
Tb Sn Pa
2 2 2
Direct
0.000 0.500 0.600
0.500 0.000 0.400
0.500 0.000 0.758
0.000 0.500 0.242
0.000 0.500 0.940
0.500 0.000 0.060

---

It turns out R is the most stable, with the second structure 118 meV per atom higher.

---

--- P ---
PaTcSn, optimized geometry, DFT PBE-GGA; DOS(E_F) = 1.822 states/eV/f.u.; V = 22.56 Å³/atom
1.0
-1.768 -3.865 -2.301
1.566 -0.170 -5.991
4.500 -2.206 0.247
Pa Tc Sn
2 2 2
Direct
0.140 0.727 0.818
0.865 0.277 0.187
0.813 0.381 0.678
0.192 0.622 0.326
0.422 0.163 0.705
0.583 0.840 0.299

---

--- Q ---
PaTcSn, optimized geometry, DFT PBE-GGA; DOS(E_F) = 2.754 states/eV/f.u.; V = 24.42 Å³/atom
1.0
-2.291 2.702 -1.209
-2.014 -2.543 -1.867
-0.877 -0.767 5.743
Pa Sn Tc
1 1 1
Direct
0.667 0.667 0.335
0.959 0.959 0.919
0.223 0.223 0.447

---

--- R ---
PaTcSn, optimized geometry, DFT PBE-GGA; DOS(E_F) = 5.037 states/eV/f.u.; V = 23.87 Å³/atom
1.0
-1.093 1.181 -4.375
-3.114 -2.518 -2.385
-4.200 1.782 -0.952
Pa Sn Tc
1 1 1
Direct
0.000 0.000 0.000
0.500 0.500 0.500
0.250 0.250 0.250

---

--- S ---
PaTcSn, optimized geometry, DFT PBE-GGA; DOS(E_F) = 3.338 states/eV/f.u.; V = 24.32 Å³/atom
1.0
3.181 0.000 0.000
-1.591 6.961 -2.458
0.000 1.681 2.701
Sn Pa Tc
1 1 1
Direct
0.918 0.837 0.082
0.696 0.391 0.304
0.536 0.072 0.464

---

It turns out P is the most stable, with the second structure 300 meV per atom higher.

---

--- P ---
PaTcSn, optimized geometry, DFT PBE-GGA; DOS(E_F) = 4.474 states/eV/f.u.; V = 21.68 Å³/atom
1.0
3.406 0.000 0.000
0.000 4.696 0.000
0.000 -2.348 4.067
Pa Sn Tc
1 1 1
Direct
0.333 0.667 0.333
0.833 0.000 0.000
0.834 0.333 0.667

---

--- Q ---
PaTcSn, optimized geometry, DFT PBE-GGA; DOS(E_F) = 2.155 states/eV/f.u.; V = 24.01 Å³/atom
1.0
6.560 0.000 -0.005
0.000 5.980 0.000
-0.277 0.000 7.346
Pa Tc Sn
4 4 4
Direct
0.796 0.639 0.390
0.204 0.361 0.610
0.296 0.861 0.890
0.704 0.139 0.110
0.970 0.161 0.354
0.470 0.339 0.854
0.030 0.839 0.646
0.530 0.661 0.146
0.820 0.615 0.892
0.180 0.385 0.108
0.680 0.115 0.608
0.320 0.885 0.392

---

It turns out Q is the most stable, with the second structure 199 meV per atom higher.